9
Lattice="5.445 0.000 0.000 0.000 5.812 0.000 0.000 -2.906 5.033" Properties=species:S:1:pos:R:3 comment="KNaOsF6 (PBE-GGA, relaxed)" sg=P312 magmom_total_mub_per_cell=2.00 formation_energy_uncorrected_kj_per_mol_atoms=-216 pbc="T T T"
K 0.000 0.000 3.355
Na 2.723 2.906 1.678
Os 2.723 0.000 0.000
F 3.830 2.125 3.591
F 3.830 1.640 0.045
F 3.830 4.953 1.397
F 1.616 0.859 1.397
F 1.616 4.172 0.045
F 1.616 3.687 3.591